# CrAgHgF6 (PBE with a Hubbard U, relaxed)
# - space-group type = P-31c (163)
# - total energy (eV per atom) = -4.35
data_CrAgHgF6
_cell_length_a 5.840
_cell_length_b 5.840
_cell_length_c 9.520
_cell_angle_alpha 90.00
_cell_angle_beta 90.00
_cell_angle_gamma 120.00
_space_group_name_H-M_alt 'P 1'
_space_group_IT_number 1
_space_group_name_Hall 'P 1'
loop_
_atom_site_label
_atom_site_type_symbol
_atom_site_fract_x
_atom_site_fract_y
_atom_site_fract_z
_atom_site_occupancy
Cr1 Cr 0.333 0.667 0.250 1
Cr2 Cr 0.667 0.333 0.750 1
Ag1 Ag 0.000 0.000 0.000 1
Ag2 Ag 0.000 0.000 0.500 1
Hg1 Hg 0.333 0.667 0.750 1
Hg2 Hg 0.667 0.333 0.250 1
F1 F 0.051 0.390 0.137 1
F2 F 0.051 0.661 0.363 1
F3 F 0.339 0.390 0.363 1
F4 F 0.339 0.949 0.137 1
F5 F 0.390 0.051 0.637 1
F6 F 0.390 0.339 0.863 1
F7 F 0.610 0.661 0.137 1
F8 F 0.610 0.949 0.363 1
F9 F 0.661 0.051 0.863 1
F10 F 0.661 0.610 0.637 1
F11 F 0.949 0.339 0.637 1
F12 F 0.949 0.610 0.863 1